No. 1
BeRe4Pt | GGA-PBE | relaxed

Results
Raw total energy: -9.25 eV/atom
M_tot: 0.0000 μB per atom

Structure (POSCAR):
```
BeRe4Pt
1.0
0.0000 3.6323 3.6323
3.6323 0.0000 3.6323
3.6323 3.6323 0.0000
Be Re Pt
1 4 1
Direct
0.0000 0.0000 0.0000
0.1254 0.6249 0.6249
0.6249 0.1254 0.6249
0.6249 0.6249 0.1254
0.6249 0.6249 0.6249
0.2500 0.2500 0.2500
```

No. 2
Al3Te | GGA-PBE | relaxed

Results
Raw total energy: -3.44 eV/atom
M_tot: 0.0000 μB per atom
E above lowest polymorph: 9.8 kJ/mol of atoms

Structure (POSCAR):
```
Al3Te
1.0
3.6370 0.0000 0.0000
0.0000 3.6370 0.0000
0.0000 0.0000 6.1408
Al Te
3 1
Direct
0.0000 0.0000 0.0000
0.5000 0.5000 0.2237
0.5000 0.5000 0.7763
0.0000 0.0000 0.5000
```

No. 3
Er2Al5Cu3 | GGA-PBE | relaxed

Results
Raw total energy: -4.43 eV/atom
M_tot: 0.0000 μB per atom

Structure (POSCAR):
```
Er2Al5Cu3
1.0
5.9445 -5.8132 0.0000
5.9445 5.8132 0.0000
-2.8297 0.0000 5.0830
Er Al Cu
4 10 6
Direct
0.1084 0.3732 0.2409
0.3732 0.1084 0.7409
0.6268 0.8916 0.2591
0.8916 0.6268 0.7591
0.9999 0.0001 0.2500
0.0001 0.9999 0.7500
0.2445 0.4597 0.8522
0.2561 0.7439 0.7500
0.2566 0.7434 0.2500
0.4597 0.2445 0.3522
0.5403 0.7555 0.6478
0.7434 0.2566 0.7500
0.7439 0.2561 0.2500
0.7555 0.5403 0.1478
0.0026 0.7447 0.3741
0.2553 0.9974 0.1259
0.4994 0.5006 0.2500
0.5006 0.4994 0.7500
0.7447 0.0026 0.8741
0.9974 0.2553 0.6259
```

No. 4
Rb2CaSnTe4 | GGA-PBE | relaxed

Results
Raw total energy: -3.36 eV/atom
M_tot: 0.0000 μB per atom

Structure (POSCAR):
```
Rb2CaSnTe4
1.0
-4.5829 4.9765 6.7299
4.5829 -4.9765 6.7299
4.5829 4.9765 -6.7299
Rb Ca Sn Te
4 2 2 8
Direct
0.0000 0.0000 0.0000
0.5000 0.0000 0.0000
0.5000 0.0000 0.5000
0.5000 0.5000 0.5000
0.0000 0.5000 0.5000
0.5000 0.5000 0.0000
0.0000 0.0000 0.5000
0.0000 0.5000 0.0000
0.1980 0.7391 0.4589
0.2197 0.2609 0.9589
0.2245 0.2493 0.5248
0.2245 0.6997 0.9752
0.7755 0.3003 0.0248
0.7755 0.7507 0.4752
0.7803 0.7391 0.0411
0.8020 0.2609 0.5411
```